# PBE KSrSb2H, relaxed
# - Electronic total energy: -2.172 eV per atom
data_KSrSb2H
_chemical_formula_sum 'K1 Sr1 Sb2 H1'
_cell_length_a 6.1202
_cell_length_b 6.1202
_cell_length_c 7.3104
_cell_angle_alpha 90.00
_cell_angle_beta 90.00
_cell_angle_gamma 90.00
_space_group_name_H-M_alt 'P 4/m m m'
_space_group_IT_number 123
_space_group_name_Hall '-P 4 2'
loop_
_atom_site_label
_atom_site_type_symbol
_atom_site_fract_x
_atom_site_fract_y
_atom_site_fract_z
K1 K 0.0000 0.0000 0.0000
Sr1 Sr 0.0000 0.0000 0.5000
Sb1 Sb 0.0000 0.5000 0.5000
H1 H 0.5000 0.5000 0.0000